Density functional theory data (PBE) for an optimized crystal structure of LiHf2Re.

Calculated values
- space-group type = No. 63
- excess energy over the best structure of this formula in the dataset (kJ per mole of atoms) = 29.9

Cell lengths 5.210, 5.210, 5.199 Å; angles 90.00, 90.00, 81.26 degrees
Positions (direct):
Li  0.166  0.834  0.750
Li  0.834  0.166  0.250
Hf  0.049  0.352  0.750
Hf  0.352  0.049  0.250
Hf  0.648  0.951  0.750
Hf  0.951  0.648  0.250
Re  0.500  0.500  0.000
Re  0.500  0.500  0.500